# 1
A relaxed structure of SrAg3Pt4O12. Source: the Open Quantum Materials Database, functional PBE.

E (eV/atom): -5.236
V (Å³/cell): 234.2

Geometry as extended XYZ:
```
20
Lattice="-3.883 3.883 3.883 3.883 -3.883 3.883 3.883 3.883 -3.883" Properties=species:S:1:pos:R:3 pbc="T T T"
Ag 0.000 0.000 3.883
Ag 0.000 3.883 0.000
Ag 3.883 0.000 0.000
O -1.580 2.502 3.883
O 1.381 0.000 2.303
O 1.381 0.000 5.463
O 3.883 -1.580 2.502
O 0.000 2.303 1.381
O 2.303 1.381 0.000
O 1.580 2.502 3.883
O 0.000 5.463 1.381
O 3.883 1.580 2.502
O 2.502 3.883 -1.580
O 2.502 3.883 1.580
O 5.463 1.381 0.000
Pt -1.941 1.941 1.941
Pt 1.941 -1.941 1.941
Pt 1.941 1.941 -1.941
Pt 1.941 1.941 1.941
Sr 0.000 0.000 0.000
```

# 2
A relaxed structure of LaCdIn. Source: the Open Quantum Materials Database, functional PBE.

E (eV/atom): -3.227
V (Å³/cell): 91.0

Geometry as extended XYZ:
```
3
Lattice="4.508 -1.753 1.444 0.385 -2.874 4.132 1.053 -4.918 -0.435" Properties=species:S:1:pos:R:3 pbc="T T T"
Cd 0.000 0.000 0.000
In 1.487 -2.386 1.285
La 4.460 -7.158 3.856
```